(1)
Here is a geometry-optimized Sm5AgPt2 structure from Alexandria via LeMat-Bulk. Energies are from GGA-PBE.

Results
space-group type	I4/mcm, No. 140
DFT formation energy	-0.693	eV per atom
calculated volume	430.7	Å³/cell
magnetization	0.00	μB/f.u.
raw total energy	-5.51	eV per atom

Unit cell a=8.7779 b=8.7779 c=8.7779 alpha=125.66 beta=125.66 gamma=80.44
Fractional positions:
Sm (0.0000, 0.0000, 0.0000)
Sm (0.0234, 0.5234, 0.8233)
Sm (0.2001, 0.0234, 0.5000)
Sm (0.2999, 0.7999, 0.8233)
Sm (0.4766, 0.2999, 0.5000)
Sm (0.5000, 0.5000, 0.0000)
Sm (0.5234, 0.7001, 0.5000)
Sm (0.7001, 0.2001, 0.1767)
Sm (0.7999, 0.9766, 0.5000)
Sm (0.9766, 0.4766, 0.1767)
Ag (0.2500, 0.2500, 0.0000)
Ag (0.7500, 0.7500, 0.0000)
Pt (0.1338, 0.3662, 0.5000)
Pt (0.3662, 0.8662, 0.2324)
Pt (0.6338, 0.1338, 0.7676)
Pt (0.8662, 0.6338, 0.5000)

(2)
Here is a geometry-optimized Sm2Ag3Pt2 structure from Alexandria via LeMat-Bulk. Energies are from GGA-PBE.

Results
space-group type	C2/m, No. 12
DFT formation energy	-0.629	eV per atom
calculated volume	150.6	Å³/cell
magnetization	0.00	μB/f.u.
raw total energy	-4.92	eV per atom

Unit cell a=5.4752 b=5.4752 c=7.1795 alpha=95.60 beta=95.60 gamma=44.71
Fractional positions:
Sm (0.1186, 0.1186, 0.3381)
Sm (0.8814, 0.8814, 0.6619)
Ag (0.1926, 0.1926, 0.8857)
Ag (0.5000, 0.5000, 0.0000)
Ag (0.8074, 0.8074, 0.1143)
Pt (0.4044, 0.4044, 0.3542)
Pt (0.5956, 0.5956, 0.6458)

(3)
Here is a geometry-optimized Sm12Ag6Pt structure from Alexandria via LeMat-Bulk. Energies are from GGA-PBE.

Results
space-group type	R-3, No. 148
DFT formation energy	-0.156	eV per atom
calculated volume	550.7	Å³/cell
magnetization	0.00	μB/f.u.
raw total energy	-4.35	eV per atom

Unit cell a=8.2026 b=8.2026 c=8.2026 alpha=92.16 beta=92.16 gamma=92.16
Fractional positions:
Sm (0.0451, 0.6974, 0.9476)
Sm (0.0524, 0.9549, 0.3026)
Sm (0.1717, 0.5216, 0.3844)
Sm (0.3026, 0.0524, 0.9549)
Sm (0.3844, 0.1717, 0.5216)
Sm (0.4784, 0.6156, 0.8283)
Sm (0.5216, 0.3844, 0.1717)
Sm (0.6156, 0.8283, 0.4784)
Sm (0.6974, 0.9476, 0.0451)
Sm (0.8283, 0.4784, 0.6156)
Sm (0.9476, 0.0451, 0.6974)
Sm (0.9549, 0.3026, 0.0524)
Ag (0.1803, 0.3735, 0.7676)
Ag (0.2324, 0.8197, 0.6265)
Ag (0.3735, 0.7676, 0.1803)
Ag (0.6265, 0.2324, 0.8197)
Ag (0.7676, 0.1803, 0.3735)
Ag (0.8197, 0.6265, 0.2324)
Pt (0.5000, 0.5000, 0.5000)

(4)
Here is a geometry-optimized SmAgPt2 structure from Alexandria via LeMat-Bulk. Energies are from GGA-PBE.

Results
space-group type	P4/mmm, No. 123
DFT formation energy	-0.644	eV per atom
calculated volume	78.2	Å³/cell
magnetization	0.00	μB/f.u.
raw total energy	-5.56	eV per atom

Unit cell a=3.6249 b=3.6249 c=5.9504 alpha=90.00 beta=90.00 gamma=90.00
Fractional positions:
Sm (0.0000, 0.0000, 0.0000)
Ag (0.0000, 0.0000, 0.5000)
Pt (0.5000, 0.5000, 0.2607)
Pt (0.5000, 0.5000, 0.7393)

(5)
Here is a geometry-optimized Sm5Ag2Pt structure from Alexandria via LeMat-Bulk. Energies are from GGA-PBE.

Results
space-group type	I4/mcm, No. 140
DFT formation energy	-0.385	eV per atom
calculated volume	439.1	Å³/cell
magnetization	0.02	μB/f.u.
raw total energy	-4.80	eV per atom

Unit cell a=9.5998 b=9.5998 c=9.5998 alpha=134.77 beta=134.77 gamma=65.88
Fractional positions:
Sm (0.0000, 0.0000, 0.0000)
Sm (0.0166, 0.5166, 0.8447)
Sm (0.1719, 0.0166, 0.5000)
Sm (0.3281, 0.8281, 0.8447)
Sm (0.4834, 0.3281, 0.5000)
Sm (0.5000, 0.5000, 0.0000)
Sm (0.5166, 0.6719, 0.5000)
Sm (0.6719, 0.1719, 0.1553)
Sm (0.8281, 0.9834, 0.5000)
Sm (0.9834, 0.4834, 0.1553)
Ag (0.1292, 0.3708, 0.5000)
Ag (0.3708, 0.8708, 0.2417)
Ag (0.6292, 0.1292, 0.7583)
Ag (0.8708, 0.6292, 0.5000)
Pt (0.2500, 0.2500, 0.0000)
Pt (0.7500, 0.7500, 0.0000)

(6)
Here is a geometry-optimized TbSmAgPt structure from Alexandria via LeMat-Bulk. Energies are from GGA-PBE.

Results
space-group type	F-43m, No. 216
DFT formation energy	-0.736	eV per atom
calculated volume	93.1	Å³/cell
magnetization	0.00	μB/f.u.
raw total energy	-5.30	eV per atom

Unit cell a=5.0877 b=5.0877 c=5.0877 alpha=60.00 beta=60.00 gamma=60.00
Fractional positions:
Tb (0.0000, 0.0000, 0.0000)
Sm (0.5000, 0.5000, 0.5000)
Ag (0.2500, 0.2500, 0.2500)
Pt (0.7500, 0.7500, 0.7500)

(7)
Here is a geometry-optimized SmYAgPt structure from Alexandria via LeMat-Bulk. Energies are from GGA-PBE.

Results
space-group type	F-43m, No. 216
DFT formation energy	-0.740	eV per atom
calculated volume	92.9	Å³/cell
magnetization	0.00	μB/f.u.
raw total energy	-5.76	eV per atom

Unit cell a=5.0834 b=5.0834 c=5.0834 alpha=60.00 beta=60.00 gamma=60.00
Fractional positions:
Sm (0.0000, 0.0000, 0.0000)
Y (0.5000, 0.5000, 0.5000)
Ag (0.7500, 0.7500, 0.7500)
Pt (0.2500, 0.2500, 0.2500)

(8)
Here is a geometry-optimized Sm2Zn2AgPt5 structure from Alexandria via LeMat-Bulk. Energies are from GGA-PBE.

Results
space-group type	P4/mbm, No. 127
DFT formation energy	-0.724	eV per atom
calculated volume	361.4	Å³/cell
magnetization	0.00	μB/f.u.
raw total energy	-5.23	eV per atom

Unit cell a=9.6493 b=9.6493 c=3.8814 alpha=90.00 beta=90.00 gamma=90.00
Fractional positions:
Sm (0.1781, 0.3219, 0.0000)
Sm (0.3219, 0.8219, 0.0000)
Sm (0.6781, 0.1781, 0.0000)
Sm (0.8219, 0.6781, 0.0000)
Zn (0.1201, 0.6201, 0.0000)
Zn (0.3799, 0.1201, 0.0000)
Zn (0.6201, 0.8799, 0.0000)
Zn (0.8799, 0.3799, 0.0000)
Ag (0.0000, 0.0000, 0.0000)
Ag (0.5000, 0.5000, 0.0000)
Pt (0.0000, 0.5000, 0.5000)
Pt (0.0657, 0.7933, 0.5000)
Pt (0.2067, 0.0657, 0.5000)
Pt (0.2933, 0.5657, 0.5000)
Pt (0.4343, 0.2933, 0.5000)
Pt (0.5000, 0.0000, 0.5000)
Pt (0.5657, 0.7067, 0.5000)
Pt (0.7067, 0.4343, 0.5000)
Pt (0.7933, 0.9343, 0.5000)
Pt (0.9343, 0.2067, 0.5000)

(9)
Here is a geometry-optimized SmZrAgPt structure from Alexandria via LeMat-Bulk. Energies are from GGA-PBE.

Results
space-group type	F-43m, No. 216
DFT formation energy	-0.494	eV per atom
calculated volume	86.3	Å³/cell
magnetization	0.00	μB/f.u.
raw total energy	-6.03	eV per atom

Unit cell a=4.9600 b=4.9600 c=4.9600 alpha=60.00 beta=60.00 gamma=60.00
Fractional positions:
Sm (0.0000, 0.0000, 0.0000)
Zr (0.5000, 0.5000, 0.5000)
Ag (0.7500, 0.7500, 0.7500)
Pt (0.2500, 0.2500, 0.2500)

(10)
Here is a geometry-optimized AgSn3Pt12 structure from Alexandria via LeMat-Bulk. Energies are from GGA-PBE.

Results
space-group type	P4/mmm, No. 123
DFT formation energy	-0.282	eV per atom
calculated volume	264.8	Å³/cell
magnetization	0.00	μB/f.u.
raw total energy	-5.74	eV per atom

Unit cell a=4.0432 b=4.0432 c=16.1951 alpha=90.00 beta=90.00 gamma=90.00
Fractional positions:
Ag (0.0000, 0.0000, 0.0000)
Sn (0.0000, 0.0000, 0.2441)
Sn (0.0000, 0.0000, 0.5000)
Sn (0.0000, 0.0000, 0.7559)
Pt (0.0000, 0.5000, 0.1239)
Pt (0.0000, 0.5000, 0.3745)
Pt (0.0000, 0.5000, 0.6255)
Pt (0.0000, 0.5000, 0.8761)
Pt (0.5000, 0.0000, 0.1239)
Pt (0.5000, 0.0000, 0.3745)
Pt (0.5000, 0.0000, 0.6255)
Pt (0.5000, 0.0000, 0.8761)
Pt (0.5000, 0.5000, 0.0000)
Pt (0.5000, 0.5000, 0.2512)
Pt (0.5000, 0.5000, 0.5000)
Pt (0.5000, 0.5000, 0.7488)

(11)
Here is a geometry-optimized AgSn2Pt2 structure from Alexandria via LeMat-Bulk. Energies are from GGA-PBE.

Results
space-group type	I4/mmm, No. 139
DFT formation energy	-0.083	eV per atom
calculated volume	110.3	Å³/cell
magnetization	0.00	μB/f.u.
raw total energy	-4.67	eV per atom

Unit cell a=6.5357 b=6.5357 c=6.5357 alpha=140.88 beta=140.88 gamma=56.52
Fractional positions:
Ag (0.0000, 0.0000, 0.0000)
Sn (0.2500, 0.7500, 0.5000)
Sn (0.7500, 0.2500, 0.5000)
Pt (0.3862, 0.3862, 0.0000)
Pt (0.6138, 0.6138, 0.0000)

(12)
Here is a geometry-optimized AgSn2Pt9 structure from Alexandria via LeMat-Bulk. Energies are from GGA-PBE.

Results
space-group type	P4/mmm, No. 123
DFT formation energy	-0.241	eV per atom
calculated volume	197.8	Å³/cell
magnetization	0.00	μB/f.u.
raw total energy	-5.68	eV per atom

Unit cell a=4.0407 b=4.0407 c=12.1132 alpha=90.00 beta=90.00 gamma=90.00
Fractional positions:
Ag (0.0000, 0.0000, 0.0000)
Sn (0.0000, 0.0000, 0.3272)
Sn (0.0000, 0.0000, 0.6728)
Pt (0.0000, 0.5000, 0.1654)
Pt (0.0000, 0.5000, 0.5000)
Pt (0.0000, 0.5000, 0.8346)
Pt (0.5000, 0.0000, 0.1654)
Pt (0.5000, 0.0000, 0.5000)
Pt (0.5000, 0.0000, 0.8346)
Pt (0.5000, 0.5000, 0.0000)
Pt (0.5000, 0.5000, 0.3346)
Pt (0.5000, 0.5000, 0.6654)